A plane-wave DFT calculation with PBE-GGA was carried out for a relaxed structure of TlInAu.

The structure in extended XYZ format:
```
6
Lattice="-2.5359 -2.3720 1.7681 2.8495 -1.0387 2.6934 -10.4893 0.4667 11.2773" Properties=species:S:1:pos:R:3 pbc="T T T"
Tl -2.7195 -2.5433 3.4235
Tl -7.4561 -0.4007 12.3153
In -8.0550 -2.1212 9.2310
In -2.1207 -0.8228 6.5079
Au -4.6577 -1.9019 5.7214
Au -5.5180 -1.0422 10.0175
```

Output
- volume (Å³ per atom) = 26.5
- crystal system = monoclinic
- total energy (eV per atom) = -2.89
- N(E_F) (states/eV/atom) = 0.259

A plane-wave DFT calculation with PBE-GGA was carried out for a relaxed structure of BaHf2CrCd.

The structure in extended XYZ format:
```
5
Lattice="-1.3055 -3.6752 -3.5723 5.2746 -1.9087 0.0361 -1.2392 -3.3507 3.9000" Properties=species:S:1:pos:R:3 pbc="T T T"
Cr 1.3649 -4.4673 0.1819
Hf -0.6196 -1.6753 1.9500
Hf -0.6527 -1.8376 -1.7862
Ba 0.0000 0.0000 0.0000
Cd 2.6373 -0.9544 0.0181
```

Output
- volume (Å³ per atom) = 31.4
- crystal system = tetragonal
- total energy (eV per atom) = -3.85
- N(E_F) (states/eV/atom) = 1.575

A plane-wave DFT calculation with PBE-GGA was carried out for a relaxed structure of ScTiRu2.

The structure in extended XYZ format:
```
4
Lattice="3.1400 0.0000 0.0000 0.0000 4.4427 0.0000 0.0000 0.0000 4.4427" Properties=species:S:1:pos:R:3 pbc="T T T"
Sc 1.5700 2.2213 2.2213
Ru 0.0000 0.0000 2.2213
Ru 0.0000 2.2213 0.0000
Ti 1.5700 0.0000 0.0000
```

Output
- volume (Å³ per atom) = 15.5
- crystal system = tetragonal
- total energy (eV per atom) = -8.85
- N(E_F) (states/eV/atom) = 0.576

A plane-wave DFT calculation with PBE-GGA was carried out for a relaxed structure of Fe3SiMo2.

The structure in extended XYZ format:
```
12
Lattice="4.7411 0.0000 0.0000 -2.3706 4.1059 0.0000 0.0000 0.0000 7.7135" Properties=species:S:1:pos:R:3 pbc="T T T"
Fe 0.0000 1.4051 1.9284
Fe 1.2169 0.7026 5.7851
Fe 2.3706 2.7008 5.7851
Fe -1.1537 3.4034 1.9284
Fe 3.5242 0.7026 5.7851
Fe 1.1537 3.4034 1.9284
Si 0.0000 0.0000 3.8568
Si 0.0000 0.0000 0.0000
Mo 2.3706 1.3686 3.3595
Mo 0.0000 2.7373 4.3540
Mo 0.0000 2.7373 7.2163
Mo 2.3706 1.3686 0.4972
```

Output
- volume (Å³ per atom) = 12.5
- crystal system = hexagonal
- total energy (eV per atom) = -9.00
- N(E_F) (states/eV/atom) = 1.021